DFT (GGA-PBE) results for AlAg3 after structural relaxation.

The structure belongs to space group R-3m (No. 166, hexagonal axes); the cell edges are 2.9586, 2.9586 and 54.9937 Å and the angles 90.00°, 90.00° and 120.00°. The inequivalent atoms are Al at (0.0000, 0.0000, 0.0618), Ag at (0.0000, 0.0000, 0.1884), Ag at (0.0000, 0.0000, 0.3112) and Ag at (0.0000, 0.0000, 0.4347).

The value obtained for the volume is 416.9 Å³ per cell. The value obtained for the electronic total energy is -3.0884 eV per atom.